[1]
## Zr3ScF (PBE-GGA)

Data for crystalline Zr3ScF at its relaxed geometry.

Cell lengths 5.107, 5.107, 5.107 Å; angles 90.00, 90.00, 90.00 degrees
Positions (direct):
Sc (0.000, 0.000, 0.000)
Zr (0.000, 0.500, 0.000)
Zr (0.000, 0.000, 0.500)
Zr (0.500, 0.000, 0.000)
F (0.500, 0.500, 0.500)

Values from the calculation:
Uncorrected formation energy, meV/atom: 1025
Energy relative to the lowest polymorph listed for this composition, eV per atom: 1.651

[2]
## ZnAsAu2 (PBE-GGA)

Data for crystalline ZnAsAu2 at its relaxed geometry.

Cell lengths 5.125, 5.125, 5.125 Å; angles 132.97, 132.97, 68.70 degrees
Positions (direct):
As (0.750, 0.250, 0.500)
Au (0.000, 0.000, 0.000)
Au (0.500, 0.500, 0.000)
Zn (0.250, 0.750, 0.500)

Values from the calculation:
Formation energy from the elements, meV per atom: 75
Energy relative to the lowest polymorph listed for this composition, eV per atom: 0.061

[3]
## Rb2ZrNp2S6 (PBE-GGA)

Data for crystalline Rb2ZrNp2S6 at its relaxed geometry.

Cell lengths 6.822, 6.822, 8.207 Å; angles 98.02, 98.02, 119.68 degrees
Positions (direct):
Rb (0.832, 0.168, 0.000)
Rb (0.168, 0.832, 0.000)
Zr (0.000, 0.000, 0.500)
Np (0.334, 0.666, 0.500)
Np (0.666, 0.334, 0.500)
S (0.744, 0.744, 0.686)
S (0.062, 0.383, 0.685)
S (0.256, 0.256, 0.314)
S (0.383, 0.062, 0.685)
S (0.938, 0.617, 0.315)
S (0.617, 0.938, 0.315)

Values from the calculation:
Uncorrected formation energy, meV/atom: -1447

[4]
## AcSbIrO (PBE-GGA)

Data for crystalline AcSbIrO at its relaxed geometry.

Cell lengths 4.317, 4.317, 9.270 Å; angles 90.00, 90.00, 90.00 degrees
Positions (direct):
Ac (0.500, 0.000, 0.634)
Ac (0.000, 0.500, 0.366)
Sb (0.000, 0.500, 0.837)
Sb (0.500, 0.000, 0.163)
Ir (0.500, 0.500, 0.000)
Ir (0.000, 0.000, 0.000)
O (0.000, 0.000, 0.500)
O (0.500, 0.500, 0.500)

Values from the calculation:
Uncorrected formation energy, meV/atom: -1718

[5]
## Dy4Ho2Sc (PBE-GGA)

Data for crystalline Dy4Ho2Sc at its relaxed geometry.

Cell lengths 6.043, 6.470, 11.321 Å; angles 90.00, 105.10, 90.00 degrees
Positions (direct):
Dy (0.645, 0.505, 0.287)
Dy (0.034, 0.750, 0.868)
Dy (0.966, 0.250, 0.132)
Dy (0.645, 0.995, 0.287)
Dy (0.851, 0.250, 0.559)
Dy (0.355, 0.005, 0.713)
Dy (0.355, 0.495, 0.713)
Dy (0.149, 0.750, 0.441)
Ho (0.611, 0.750, 0.001)
Ho (0.389, 0.250, 0.999)
Ho (0.283, 0.250, 0.423)
Ho (0.717, 0.750, 0.577)
Sc (0.155, 0.750, 0.163)
Sc (0.845, 0.250, 0.837)

Values from the calculation:
Formation energy from the elements, meV per atom: 143
Energy relative to the lowest polymorph listed for this composition, eV per atom: 0.000

[6]
## YErTc (PBE-GGA)

Data for crystalline YErTc at its relaxed geometry.

Cell lengths 3.466, 3.466, 6.639 Å; angles 105.13, 105.13, 90.00 degrees
Positions (direct):
Y (0.035, 0.035, 0.069)
Tc (0.669, 0.669, 0.337)
Er (0.297, 0.297, 0.593)

Values from the calculation:
Formation energy from the elements, meV per atom: -48
Energy relative to the lowest polymorph listed for this composition, eV per atom: 0.000

[7]
## CePaTeSe (PBE-GGA)

Data for crystalline CePaTeSe at its relaxed geometry.

Cell lengths 5.246, 5.246, 5.246 Å; angles 60.00, 60.00, 60.00 degrees
Positions (direct):
Pa (0.250, 0.250, 0.250)
Te (0.500, 0.500, 0.500)
Se (0.000, 0.000, 0.000)
Ce (0.750, 0.750, 0.750)

Values from the calculation:
Uncorrected formation energy, meV/atom: -1013

[8]
## UTcGeRh (PBE-GGA)

Data for crystalline UTcGeRh at its relaxed geometry.

Cell lengths 4.601, 4.601, 4.601 Å; angles 60.00, 60.00, 60.00 degrees
Positions (direct):
Rh (0.000, 0.000, 0.000)
Ge (0.250, 0.250, 0.250)
U (0.750, 0.750, 0.750)
Tc (0.500, 0.500, 0.500)

Values from the calculation:
Formation energy from the elements, meV per atom: -261

[9]
## SiSb2Os (PBE-GGA)

Data for crystalline SiSb2Os at its relaxed geometry.

Cell lengths 3.088, 3.088, 9.846 Å; angles 90.00, 90.00, 118.49 degrees
Positions (direct):
Os (0.500, 0.500, 0.750)
Sb (0.000, 0.000, 0.975)
Sb (0.000, 0.000, 0.525)
Si (0.500, 0.500, 0.250)

Values from the calculation:
Uncorrected formation energy, meV/atom: 768

[10]
## Ac5Ge2Se2 (PBE-GGA)

Data for crystalline Ac5Ge2Se2 at its relaxed geometry.

Cell lengths 8.600, 8.440, 9.057 Å; angles 117.77, 90.00, 90.00 degrees
Positions (direct):
Ac (0.000, 0.000, 0.000)
Ac (0.500, 0.500, 0.000)
Ac (0.843, 0.797, 0.270)
Ac (0.157, 0.473, 0.270)
Ac (0.343, 0.973, 0.270)
Ac (0.657, 0.297, 0.270)
Ac (0.157, 0.203, 0.730)
Ac (0.843, 0.527, 0.730)
Ac (0.657, 0.027, 0.730)
Ac (0.343, 0.703, 0.730)
Ge (0.642, 0.858, 0.000)
Ge (0.358, 0.142, 0.000)
Ge (0.142, 0.642, 0.000)
Ge (0.858, 0.358, 0.000)
Se (0.000, 0.196, 0.392)
Se (0.500, 0.696, 0.392)
Se (0.000, 0.804, 0.608)
Se (0.500, 0.304, 0.608)

Values from the calculation:
Uncorrected formation energy, meV/atom: -1101

[11]
## YAgS2O8 (PBE-GGA)

Data for crystalline YAgS2O8 at its relaxed geometry.

Cell lengths 5.074, 5.074, 8.105 Å; angles 71.76, 71.76, 60.00 degrees
Positions (direct):
Y (0.000, 0.000, 0.000)
Ag (0.500, 0.500, 0.500)
S (0.249, 0.249, 0.252)
S (0.751, 0.751, 0.748)
O (0.185, 0.185, 0.445)
O (0.555, 0.262, 0.181)
O (0.815, 0.815, 0.555)
O (0.002, 0.555, 0.181)
O (0.998, 0.445, 0.819)
O (0.262, 0.002, 0.181)
O (0.738, 0.998, 0.819)
O (0.445, 0.738, 0.819)

Values from the calculation:
Uncorrected formation energy, meV/atom: -1717

[12]
## Ac2AlSiSn (PBE-GGA)

Data for crystalline Ac2AlSiSn at its relaxed geometry.

Cell lengths 4.548, 7.594, 9.672 Å; angles 106.38, 90.00, 90.00 degrees
Positions (direct):
Ac (0.750, 0.799, 0.597)
Ac (0.750, 0.749, 0.023)
Ac (0.250, 0.201, 0.403)
Ac (0.250, 0.251, 0.977)
Al (0.250, 0.523, 0.737)
Al (0.750, 0.477, 0.263)
Si (0.250, 0.847, 0.827)
Si (0.750, 0.153, 0.173)
Sn (0.250, 0.694, 0.301)
Sn (0.750, 0.306, 0.699)

Values from the calculation:
Uncorrected formation energy, meV/atom: -512

[13]
## KScMo2 (PBE-GGA)

Data for crystalline KScMo2 at its relaxed geometry.

Cell lengths 4.806, 2.837, 7.752 Å; angles 74.71, 90.00, 90.00 degrees
Positions (direct):
K (0.500, 0.750, 0.750)
Mo (0.000, 0.956, 0.100)
Mo (0.000, 0.544, 0.400)
Sc (0.500, 0.250, 0.250)

Values from the calculation:
Formation energy from the elements, meV per atom: 756
Energy relative to the lowest polymorph listed for this composition, eV per atom: 0.276

[14]
## SrIn4Ir (PBE-GGA)

Data for crystalline SrIn4Ir at its relaxed geometry.

Cell lengths 4.358, 7.759, 8.779 Å; angles 90.00, 90.00, 90.00 degrees
Positions (direct):
In (0.000, 0.000, 0.000)
In (0.000, 0.000, 0.500)
In (0.500, 0.940, 0.250)
In (0.500, 0.060, 0.750)
In (0.500, 0.310, 0.066)
In (0.500, 0.310, 0.434)
In (0.500, 0.690, 0.934)
In (0.500, 0.690, 0.566)
Ir (0.000, 0.190, 0.250)
Ir (0.000, 0.810, 0.750)
Sr (0.000, 0.605, 0.250)
Sr (0.000, 0.395, 0.750)

Values from the calculation:
Formation energy from the elements, meV per atom: -352